Computed, not measured: Ni2PNO after structural relaxation at the GGA+U level of DFT.

Computed properties:
- Raw total energy: -18.54 eV for the cell shown
- Symmetry: P4/mmm, No. 123

Unit cell a=3.566 b=3.566 c=4.366 alpha=90.00 beta=90.00 gamma=90.00
Element x y z (fractional)
Ni 0.000 0.500 0.000
Ni 0.500 0.000 0.000
P 0.000 0.000 0.500
N 0.500 0.500 0.000
O 0.500 0.500 0.500